MnGeOsO6 | PBE with a Hubbard U | relaxed

Computed properties:
DOS(E_F)	0.43	states/eV/atom
space group	No. 163
raw total energy	-129.8	eV/cell

Cell: 5.076 5.076 9.212 Å, 90.00 90.00 120.00°
Positions (direct):
1 Mn 0.000 0.000 0.000
2 Mn 0.000 0.000 0.500
3 Ge 0.333 0.667 0.250
4 Ge 0.667 0.333 0.750
5 Os 0.333 0.667 0.750
6 Os 0.667 0.333 0.250
7 O 0.002 0.360 0.137
8 O 0.002 0.642 0.363
9 O 0.358 0.360 0.363
10 O 0.358 0.998 0.137
11 O 0.360 0.002 0.637
12 O 0.360 0.358 0.863
13 O 0.640 0.642 0.137
14 O 0.640 0.998 0.363
15 O 0.642 0.002 0.863
16 O 0.642 0.640 0.637
17 O 0.998 0.358 0.637
18 O 0.998 0.640 0.863